{
  "formula": "Na3Mg2MoO6",
  "functional": "PBE with a Hubbard U",
  "state": "optimized geometry",
  "lattice": [[-2.5760, 2.1435, 4.2356], [0.4920, -5.3533, -0.5204], [5.3562, 1.2217, 1.5294]],
  "species": ["O", "O", "O", "O", "O", "O", "Na", "Na", "Na", "Mg", "Mg", "Mo"],
  "fractional_positions": [[0.9314, 0.6107, 0.7951], [0.0686, 0.3893, 0.2049], [0.6107, 0.9314, 0.7951], [0.3893, 0.0686, 0.2049], [0.2443, 0.2443, 0.8024], [0.7557, 0.7557, 0.1976], [0.8270, 0.1730, 0.5000], [0.1730, 0.8270, 0.5000], [0.5000, 0.5000, 0.5000], [0.3293, 0.6707, 0.0000], [0.6707, 0.3293, 0.0000], [0.0000, 0.0000, 0.0000]],
  "total_energy_ev_per_atom": -5.720,
  "sg": "C2/m",
  "magnetic_moment_mub_per_cell": 1.0,
  "mass_density_g_cm3": 3.8,
  "n_ef_per_ev_cell": 0.00
}